[1]
Density functional theory data (PBEsol) for a geometry-optimized Sr2Li2Ga structure.

Values from the calculation:
Calculated density = 2.9 g/cm³
VASP energy = -2.2802 eV/atom
Volume = 29.97 Å³/atom
Energy of formation from the pure elements = -89 meV/atom
M_tot = 0.0 μB/f.u.

Lattice parameters (Å, degrees): 3.873 3.873 19.980 90.00 90.00 90.00
Fractional positions:
Sr: 0.000 0.000 0.094
Sr: 0.000 0.000 0.906
Sr: 0.500 0.500 0.406
Sr: 0.500 0.500 0.594
Li: 0.000 0.500 0.250
Li: 0.000 0.500 0.750
Li: 0.500 0.000 0.250
Li: 0.500 0.000 0.750
Ga: 0.000 0.000 0.500
Ga: 0.500 0.500 0.000



[2]
Density functional theory data (PBEsol) for a geometry-optimized Ag3MoRu structure.

Values from the calculation:
Calculated density = 7.5 g/cm³
VASP energy = -4.3047 eV/atom
Volume = 22.94 Å³/atom
Energy of formation from the pure elements = 2070 meV/atom
M_tot = 6.3 μB/f.u.

Lattice parameters (Å, degrees): 4.859 4.859 4.859 90.00 90.00 90.00
Fractional positions:
Ag: 0.000 0.000 0.500
Ag: 0.000 0.500 0.000
Ag: 0.500 0.000 0.000
Mo: 0.500 0.500 0.500
Ru: 0.000 0.000 0.000



[3]
Density functional theory data (PBEsol) for a geometry-optimized LaSiPd2Br structure.

Values from the calculation:
Calculated density = 6.5 g/cm³
VASP energy = -5.4412 eV/atom
Volume = 23.53 Å³/atom
M_tot = 0.0 μB/f.u.

Lattice parameters (Å, degrees): 4.469 4.469 5.889 90.00 90.00 90.00
Fractional positions:
La: 0.000 0.000 0.000
Si: 0.000 0.000 0.500
Pd: 0.000 0.500 0.500
Pd: 0.500 0.000 0.500
Br: 0.500 0.500 0.000



[4]
Density functional theory data (PBEsol) for a geometry-optimized Mn5CuO12 structure.

Values from the calculation:
Calculated density = 4.5 g/cm³
VASP energy = -7.7878 eV/atom
Volume = 10.90 Å³/atom
M_tot = 12.1 μB/f.u.

Lattice parameters (Å, degrees): 4.938 4.938 9.299 90.16 90.16 120.08
Fractional positions:
Mn: 0.000 0.000 0.000
Mn: 0.167 0.833 0.500
Mn: 0.333 0.667 0.000
Mn: 0.667 0.333 0.000
Mn: 0.833 0.167 0.500
Cu: 0.500 0.500 0.500
O: 0.001 0.334 0.102
O: 0.150 0.150 0.398
O: 0.152 0.501 0.602
O: 0.332 0.332 0.898
O: 0.334 0.001 0.102
O: 0.499 0.848 0.398
O: 0.501 0.152 0.602
O: 0.666 0.999 0.898
O: 0.668 0.668 0.102
O: 0.848 0.499 0.398
O: 0.850 0.850 0.602
O: 0.999 0.666 0.898



[5]
Density functional theory data (PBEsol) for a geometry-optimized PrMg2Cu9 structure.

Values from the calculation:
Calculated density = 7.4 g/cm³
VASP energy = -4.1198 eV/atom
Volume = 14.21 Å³/atom
Energy of formation from the pure elements = -151 meV/atom
M_tot = 0.0 μB/f.u.

Lattice parameters (Å, degrees): 4.978 4.978 15.897 90.00 90.00 120.00
Fractional positions:
Pr: 0.333 0.667 0.250
Pr: 0.667 0.333 0.750
Mg: 0.333 0.667 0.032
Mg: 0.333 0.667 0.468
Mg: 0.667 0.333 0.532
Mg: 0.667 0.333 0.968
Cu: 0.000 0.000 0.000
Cu: 0.000 0.000 0.250
Cu: 0.000 0.000 0.500
Cu: 0.000 0.000 0.750
Cu: 0.168 0.336 0.622
Cu: 0.168 0.336 0.878
Cu: 0.168 0.832 0.622
Cu: 0.168 0.832 0.878
Cu: 0.333 0.667 0.750
Cu: 0.336 0.168 0.122
Cu: 0.336 0.168 0.378
Cu: 0.664 0.832 0.622
Cu: 0.664 0.832 0.878
Cu: 0.667 0.333 0.250
Cu: 0.832 0.168 0.122
Cu: 0.832 0.168 0.378
Cu: 0.832 0.664 0.122
Cu: 0.832 0.664 0.378



[6]
Density functional theory data (PBEsol) for a geometry-optimized Sr3Li3La5O12 structure.

Values from the calculation:
Calculated density = 6.0 g/cm³
VASP energy = -7.3437 eV/atom
Volume = 14.11 Å³/atom
M_tot = 0.0 μB/f.u.

Lattice parameters (Å, degrees): 6.821 3.547 13.413 90.00 90.24 90.00
Fractional positions:
Sr: 0.000 0.000 0.000
Sr: 0.162 0.500 0.552
Sr: 0.683 0.500 0.500
Li: 0.205 0.500 0.150
Li: 0.461 0.000 0.646
Li: 0.712 0.500 0.917
La: 0.332 0.500 0.822
La: 0.335 0.000 0.327
La: 0.503 0.000 0.070
La: 0.844 0.000 0.741
La: 0.844 0.500 0.253
O: 0.082 0.000 0.180
O: 0.122 0.500 0.367
O: 0.220 0.000 0.722
O: 0.282 0.500 0.008
O: 0.406 0.000 0.506
O: 0.460 0.500 0.206
O: 0.578 0.000 0.891
O: 0.594 0.500 0.693
O: 0.703 0.000 0.341
O: 0.760 0.500 0.060
O: 0.895 0.000 0.574
O: 0.962 0.500 0.851



[7]
Density functional theory data (PBEsol) for a geometry-optimized TlTeRu2 structure.

Values from the calculation:
Calculated density = 12.0 g/cm³
VASP energy = -6.1734 eV/atom
Volume = 18.55 Å³/atom
M_tot = 0.0 μB/f.u.
Excess energy over the best structure of this formula in the dataset = 0.22 eV/f.u.

Lattice parameters (Å, degrees): 3.221 3.972 11.599 90.00 90.00 90.00
Fractional positions:
Tl: 0.000 0.000 0.000
Tl: 0.500 0.500 0.500
Te: 0.000 0.500 0.252
Te: 0.500 0.000 0.752
Ru: 0.000 0.000 0.582
Ru: 0.000 0.500 0.821
Ru: 0.500 0.000 0.321
Ru: 0.500 0.500 0.082



[8]
Density functional theory data (PBEsol) for a geometry-optimized MgAgAu2 structure.

Values from the calculation:
Calculated density = 12.8 g/cm³
VASP energy = -3.5193 eV/atom
Volume = 17.05 Å³/atom
Energy of formation from the pure elements = -300 meV/atom
M_tot = 0.0 μB/f.u.

Lattice parameters (Å, degrees): 9.548 3.059 4.787 90.00 102.72 90.00
Fractional positions:
Mg: 0.000 0.000 0.000
Mg: 0.500 0.500 0.000
Ag: 0.247 0.000 0.732
Ag: 0.747 0.500 0.732
Au: 0.244 0.500 0.228
Au: 0.496 0.000 0.498
Au: 0.744 0.000 0.228
Au: 0.996 0.500 0.498



[9]
Density functional theory data (PBEsol) for a geometry-optimized SrFeI2N structure.

Values from the calculation:
Calculated density = 6.3 g/cm³
VASP energy = -4.9435 eV/atom
Volume = 21.78 Å³/atom
M_tot = 0.0 μB/f.u.

Lattice parameters (Å, degrees): 5.499 5.499 3.601 90.00 90.00 90.00
Fractional positions:
Sr: 0.000 0.000 0.000
Fe: 0.500 0.500 0.500
I: 0.000 0.500 0.500
I: 0.500 0.000 0.500
N: 0.500 0.500 0.000



[10]
Density functional theory data (PBEsol) for a geometry-optimized Sr2SiIr structure.

Values from the calculation:
Calculated density = 6.5 g/cm³
VASP energy = -4.4587 eV/atom
Volume = 25.36 Å³/atom
M_tot = 0.0 μB/f.u.

Lattice parameters (Å, degrees): 3.573 3.573 27.528 90.00 90.00 120.00
Fractional positions:
Sr: 0.000 0.000 0.244
Sr: 0.000 0.000 0.756
Sr: 0.333 0.667 0.422
Sr: 0.333 0.667 0.911
Sr: 0.667 0.333 0.089
Sr: 0.667 0.333 0.578
Si: 0.000 0.000 0.000
Si: 0.333 0.667 0.667
Si: 0.667 0.333 0.333
Ir: 0.000 0.000 0.500
Ir: 0.333 0.667 0.167
Ir: 0.667 0.333 0.833



[11]
Density functional theory data (PBEsol) for a geometry-optimized MnZn2Pt structure.

Values from the calculation:
Calculated density = 11.5 g/cm³
VASP energy = -5.1894 eV/atom
Volume = 13.69 Å³/atom
Energy of formation from the pure elements = -217 meV/atom
M_tot = 3.5 μB/f.u.

Lattice parameters (Å, degrees): 6.028 6.028 6.028 90.00 90.00 90.00
Fractional positions:
Mn: 0.000 0.000 0.000
Mn: 0.000 0.500 0.500
Mn: 0.500 0.000 0.500
Mn: 0.500 0.500 0.000
Zn: 0.000 0.000 0.500
Zn: 0.000 0.500 0.000
Zn: 0.250 0.250 0.750
Zn: 0.250 0.750 0.250
Zn: 0.500 0.000 0.000
Zn: 0.500 0.500 0.500
Zn: 0.750 0.250 0.250
Zn: 0.750 0.750 0.750
Pt: 0.250 0.250 0.250
Pt: 0.250 0.750 0.750
Pt: 0.750 0.250 0.750
Pt: 0.750 0.750 0.250



[12]
Density functional theory data (PBEsol) for a geometry-optimized TmSiIr structure.

Values from the calculation:
Calculated density = 12.7 g/cm³
VASP energy = -7.9692 eV/atom
Volume = 16.99 Å³/atom
M_tot = 0.0 μB/f.u.

Lattice parameters (Å, degrees): 6.690 4.156 7.331 90.00 90.00 90.00
Fractional positions:
Tm: 0.003 0.250 0.187
Tm: 0.497 0.750 0.687
Tm: 0.503 0.250 0.313
Tm: 0.997 0.750 0.813
Si: 0.205 0.750 0.388
Si: 0.295 0.250 0.888
Si: 0.705 0.750 0.112
Si: 0.795 0.250 0.612
Ir: 0.158 0.250 0.566
Ir: 0.342 0.750 0.066
Ir: 0.658 0.250 0.934
Ir: 0.842 0.750 0.434